No. 1
VASP calculation (PBE) on a geometry-optimized LiCr2MoRh structure.

Unit cell a=3.960 b=3.960 c=4.156 alpha=90.00 beta=90.00 gamma=90.00
Space group P4/mmm (No. 123)
Inequivalent atoms, fractional coordinates:
Li1 0.000 0.000 0.000 x1
Cr1 0.000 0.500 0.000 x2
Mo1 0.000 0.000 0.500 x1
Rh1 0.500 0.500 0.500 x1

## Properties
Calculated formation energy = 1226 meV/atom
D(E_F) = 7.3 states/eV per cell
M_tot = 0.000 μB/atom
Raw total energy = -6.6428 eV per atom

No. 2
VASP calculation (PBE) on a geometry-optimized Ac6NiSn5 structure.

Unit cell a=8.335 b=12.163 c=8.780 alpha=90.00 beta=104.29 gamma=90.00
Space group C2/m (No. 12)
Inequivalent atoms, fractional coordinates:
Ac1 0.208 0.160 0.211 x8
Ac2 0.211 0.000 0.704 x4
Ni1 0.000 0.000 0.000 x2
Sn1 0.000 0.227 0.500 x4
Sn2 0.000 0.379 0.000 x4
Sn3 0.000 0.500 0.500 x2

## Properties
Calculated formation energy = -464 meV/atom
D(E_F) = 21.9 states/eV per cell
M_tot = 0.000 μB/atom
Raw total energy = -4.6676 eV per atom

no.,ρ (Mg/m³),volume (A^3/atom)
1,7.894,13.03
2,7.756,35.94